Arrangement P

Entry from Alexandria: a relaxed Hf2CdS crystal (GGA-PBE).

a = 4.7712 Å, b = 4.7712 Å, c = 4.7712 Å
α = 60.00°, β = 60.00°, γ = 60.00°
Element x y z (fractional)
S 0.0000 0.0000 0.0000
Hf 0.2500 0.2500 0.2500
Hf 0.7500 0.7500 0.7500
Cd 0.5000 0.5000 0.5000

## Properties
- Total moment: 0.000 μB per atom

***

Arrangement Q

Entry from Alexandria: a relaxed Hf2CdS crystal (GGA-PBE).

a = 3.5047 Å, b = 3.5047 Å, c = 7.8640 Å
α = 77.12°, β = 77.12°, γ = 60.00°
Element x y z (fractional)
Hf 0.0634 0.0634 0.8098
Hf 0.2702 0.2702 0.1893
Cd 0.4995 0.4995 0.5016
S 0.6669 0.6669 0.9993

## Properties
- Total moment: 0.000 μB per atom

***

Arrangement R

Entry from Alexandria: a relaxed Hf2CdS crystal (GGA-PBE).

a = 3.5097 Å, b = 3.5097 Å, c = 7.8025 Å
α = 77.00°, β = 77.00°, γ = 60.00°
Element x y z (fractional)
S 0.0000 0.0000 0.0000
Hf 0.7306 0.7306 0.8081
Hf 0.2694 0.2694 0.1919
Cd 0.5000 0.5000 0.5000

## Properties
- Total moment: 0.000 μB per atom

***

How far above the most stable structure does each one sit? In meV/atom: arrangement P 513; arrangement Q 20; arrangement R 0.